# Cr2OsBr

Cr2OsBr after structural relaxation (PBE, Alexandria via LeMat-Bulk).

abc: 6.0730 6.0730 6.0730
angles: 90.00 90.00 90.00
With the nearest neighbours (Å) after each atom.
Sites, in units of the cell vectors:
Cr1 0.2500 0.2500 0.2500  4 Br 2.63, 4 Os 2.63
Cr2 0.2500 0.2500 0.7500  4 Os 2.63, 4 Br 2.63
Cr3 0.2500 0.7500 0.2500  4 Br 2.63, 4 Os 2.63
Cr4 0.2500 0.7500 0.7500  4 Br 2.63, 4 Os 2.63
Cr5 0.7500 0.2500 0.2500  4 Br 2.63, 4 Os 2.63
Cr6 0.7500 0.2500 0.7500  4 Br 2.63, 4 Os 2.63
Cr7 0.7500 0.7500 0.2500  4 Br 2.63, 4 Os 2.63
Cr8 0.7500 0.7500 0.7500  4 Os 2.63, 4 Br 2.63
Os1 0.0000 0.0000 0.0000  8 Cr 2.63
Os2 0.0000 0.5000 0.5000  8 Cr 2.63
Os3 0.5000 0.0000 0.5000  8 Cr 2.63
Os4 0.5000 0.5000 0.0000  8 Cr 2.63
Br1 0.0000 0.0000 0.5000  8 Cr 2.63
Br2 0.0000 0.5000 0.0000  8 Cr 2.63
Br3 0.5000 0.0000 0.0000  8 Cr 2.63
Br4 0.5000 0.5000 0.5000  8 Cr 2.63

Values from the calculation:
calculated density	11.095	Mg/m³
formation energy without anion corrections	1063	meV/atom

# CrOsBr2

CrOsBr2 after structural relaxation (PBE, Alexandria via LeMat-Bulk).

abc: 16.8593 3.5527 3.5511
angles: 90.00 102.02 90.00
With the nearest neighbours (Å) after each atom.
Sites, in units of the cell vectors:
Cr1 0.0000 0.0000 0.0000  4 Os 2.51
Cr2 0.5000 0.5000 0.0000  4 Os 2.51
Os1 0.0000 0.5000 0.5000  2 Br 2.43, 4 Cr 2.51
Os2 0.5000 0.0000 0.5000  2 Br 2.43, 4 Cr 2.51
Br1 0.1472 0.5000 0.6462  1 Os 2.43
Br2 0.3528 0.0000 0.3538  1 Os 2.43
Br3 0.6472 0.0000 0.6462  1 Os 2.43
Br4 0.8528 0.5000 0.3538  1 Os 2.43

Values from the calculation:
calculated density	6.418	Mg/m³
formation energy without anion corrections	419	meV/atom

# Cr2OsBr

Cr2OsBr after structural relaxation (PBE, Alexandria via LeMat-Bulk).

abc: 2.8461 2.8461 24.2504
angles: 90.00 90.00 120.00
With the nearest neighbours (Å) after each atom.
Sites, in units of the cell vectors:
Cr1 0.0000 0.0000 0.2493  3 Os 2.59, 3 Br 2.62, 6 Cr 2.85
Cr2 0.0000 0.0000 0.7507  3 Os 2.59, 3 Br 2.62, 6 Cr 2.85
Cr3 0.3333 0.6667 0.4174  3 Os 2.59, 3 Br 2.62, 6 Cr 2.85
Cr4 0.3333 0.6667 0.9160  3 Os 2.59, 3 Br 2.62, 6 Cr 2.85
Cr5 0.6667 0.3333 0.0840  3 Os 2.59, 3 Br 2.62, 6 Cr 2.85
Cr6 0.6667 0.3333 0.5826  3 Os 2.59, 3 Br 2.62, 6 Cr 2.85
Os1 0.0000 0.0000 0.5000  6 Cr 2.59, 6 Os 2.85
Os2 0.3333 0.6667 0.1667  6 Cr 2.59, 6 Os 2.85
Os3 0.6667 0.3333 0.8333  6 Cr 2.59, 6 Os 2.85
Br1 0.0000 0.0000 0.0000  6 Cr 2.62, 6 Br 2.85
Br2 0.3333 0.6667 0.6667  6 Cr 2.62, 6 Br 2.85
Br3 0.6667 0.3333 0.3333  6 Cr 2.62, 6 Br 2.85

Values from the calculation:
calculated density	10.955	Mg/m³
formation energy without anion corrections	631	meV/atom

# Cr3OsBr

Cr3OsBr after structural relaxation (PBE, Alexandria via LeMat-Bulk).

abc: 4.2648 4.2648 4.2648
angles: 90.00 90.00 90.00
With the nearest neighbours (Å) after each atom.
Sites, in units of the cell vectors:
Cr1 0.0000 0.0000 0.5000  2 Br 2.13
Cr2 0.0000 0.5000 0.0000  2 Br 2.13
Cr3 0.5000 0.0000 0.0000  2 Br 2.13
Os1 0.5000 0.5000 0.5000  12 Cr 3.02
Br1 0.0000 0.0000 0.0000  6 Cr 2.13

Values from the calculation:
calculated density	9.122	Mg/m³
formation energy without anion corrections	1759	meV/atom

# CrOs2Br

CrOs2Br after structural relaxation (PBE, Alexandria via LeMat-Bulk).

abc: 2.8558 3.5881 6.9659
angles: 90.00 90.00 90.00
With the nearest neighbours (Å) after each atom.
Sites, in units of the cell vectors:
Cr1 0.0000 0.0000 0.0000  5 Os 2.61-2.71, 2 Br 2.76, 2 Cr 2.86
Os1 0.0000 0.0000 0.6252  6 Os 2.57-2.86, 1 Cr 2.61
Os2 0.5000 0.5000 0.7917  6 Os 2.57-2.86, 4 Cr 2.71
Br1 0.0000 0.5000 0.3003  2 Cr 2.76, 2 Br 2.86, 2 Os 2.89

Values from the calculation:
calculated density	11.919	Mg/m³
formation energy without anion corrections	679	meV/atom

# Cr4OsBr

Cr4OsBr after structural relaxation (PBE, Alexandria via LeMat-Bulk).

abc: 4.8529 4.8529 4.8529
angles: 60.00 60.00 60.00
With the nearest neighbours (Å) after each atom.
Sites, in units of the cell vectors:
Cr1 0.3757 0.3757 0.3757  6 Cr 2.41-2.44
Cr2 0.3757 0.3757 0.8728  6 Cr 2.41-2.44
Cr3 0.3757 0.8728 0.3757  6 Cr 2.41-2.44
Cr4 0.8728 0.3757 0.3757  6 Cr 2.41-2.44
Os1 0.0000 0.0000 0.0000  12 Cr 2.85, 4 Br 2.97
Br1 0.7500 0.7500 0.7500  12 Cr 2.84, 4 Os 2.97

Values from the calculation:
calculated density	9.824	Mg/m³
formation energy without anion corrections	870	meV/atom